The following is a DFT calculation (GGA-PBEsol) of crystalline CrReRh3 at its relaxed geometry.

```
data_CrReRh3
_chemical_formula_sum 'Cr1 Re1 Rh3'
_cell_length_a 4.3158
_cell_length_b 4.3158
_cell_length_c 4.3158
_cell_angle_alpha 90.00
_cell_angle_beta 90.00
_cell_angle_gamma 90.00
_symmetry_space_group_name_H-M 'P m -3 m'
_symmetry_Int_Tables_number 221
_symmetry_space_group_name_Hall '-P 4 2 3'
loop_
_atom_site_label
_atom_site_type_symbol
_atom_site_fract_x
_atom_site_fract_y
_atom_site_fract_z
_atom_site_occupancy
Cr1 Cr 0.0000 0.0000 0.0000 1
Re1 Re 0.5000 0.5000 0.5000 1
Rh1 Rh 0.0000 0.0000 0.5000 1
```

Summary:
For the density of states at the Fermi level, the calculation gives 6.307 states/eV/f.u. As for the total energy: -40.46 eV per cell. As for the formation energy: 7.53 eV per formula unit.